No. 1
Here is a relaxed structure of Er2In8Co from OQMD. Energies are from PBE.

```
Er2In8Co
1.0
-4.511 -0.851 0.051
0.465 -2.685 -3.695
1.892 -9.589 7.206
In Er Co
8 2 1
Direct
0.500 0.000 0.500
0.500 0.500 0.693
0.500 0.000 0.120
0.500 0.000 0.880
0.500 0.500 0.307
0.000 0.500 0.880
0.000 0.500 0.120
0.000 0.500 0.500
0.000 0.000 0.306
0.000 0.000 0.694
0.000 0.000 0.000
```

Properties
**V**: 256 Å³/f.u.
**Crystal system**: tetragonal
**Space-group type**: P4/mmm
**Total DFT energy (no corrections)**: -41.23 eV for the cell shown
**Total magnetization**: 0.0 μB per cell



No. 2
Here is a relaxed structure of ErInCo from OQMD. Energies are from PBE.

```
ErInCo
1.0
0.000 3.287 3.287
3.287 0.000 3.287
3.287 3.287 0.000
Er Co In
1 1 1
Direct
0.750 0.750 0.750
0.250 0.250 0.250
0.000 0.000 0.000
```

Properties
**V**: 71 Å³/f.u.
**Crystal system**: cubic
**Space-group type**: F-43m
**Total DFT energy (no corrections)**: -13.29 eV for the cell shown
**Total magnetization**: 1.5 μB per cell



No. 3
Here is a relaxed structure of Er2InCoNi from OQMD. Energies are from PBE.

```
Er2InCoNi
1.0
-0.051 2.289 -2.848
-7.107 1.148 1.050
-5.325 3.816 3.163
Er In Co Ni
2 1 1 1
Direct
0.500 0.360 0.360
0.500 0.639 0.639
0.000 0.001 0.001
0.000 0.199 0.199
0.000 0.801 0.801
```

Properties
**V**: 99 Å³/f.u.
**Crystal system**: orthorhombic
**Space-group type**: Amm2
**Total DFT energy (no corrections)**: -26.73 eV for the cell shown
**Total magnetization**: 0.2 μB per cell



No. 4
Here is a relaxed structure of ErInCoS3 from OQMD. Energies are from PBE.

```
ErInCoS3
1.0
-3.707 -0.657 0.650
-0.365 -2.429 6.695
-1.103 9.618 3.429
Co S Er In
2 6 2 2
Direct
0.525 0.951 0.250
0.475 0.049 0.750
0.626 0.748 0.423
0.374 0.252 0.923
0.374 0.252 0.577
0.932 0.135 0.250
0.626 0.748 0.077
0.068 0.865 0.750
0.000 0.000 0.000
0.000 0.000 0.500
0.752 0.495 0.750
0.248 0.505 0.250
```

Properties
**V**: 135 Å³/f.u.
**Crystal system**: orthorhombic
**Space-group type**: Cmcm
**Total DFT energy (no corrections)**: -65.01 eV for the cell shown
**Total magnetization**: 4.9 μB per cell



No. 5
Here is a relaxed structure of ErInCoSe3 from OQMD. Energies are from PBE.

```
ErInCoSe3
1.0
7.344 -1.930 0.000
7.344 1.930 0.000
0.000 0.000 10.338
Er In Se Co
2 2 6 2
Direct
0.000 0.000 0.000
0.000 0.000 0.500
0.753 0.753 0.250
0.247 0.247 0.750
0.925 0.925 0.750
0.628 0.628 0.582
0.628 0.628 0.918
0.372 0.372 0.082
0.075 0.075 0.250
0.372 0.372 0.418
0.518 0.518 0.750
0.482 0.482 0.250
```

Properties
**V**: 146 Å³/f.u.
**Crystal system**: orthorhombic
**Space-group type**: Cmcm
**Total DFT energy (no corrections)**: -59.71 eV for the cell shown
**Total magnetization**: 4.1 μB per cell



No. 6
Here is a relaxed structure of Er4InCo2Si4 from OQMD. Energies are from PBE.

```
Er4InCo2Si4
1.0
7.544 -2.065 0.000
7.544 2.065 0.000
-2.106 0.000 6.537
Er Si Co In
4 4 2 1
Direct
0.588 0.588 0.385
0.412 0.412 0.615
0.655 0.655 0.940
0.345 0.345 0.060
0.067 0.067 0.652
0.933 0.933 0.348
0.792 0.792 0.724
0.208 0.208 0.276
0.220 0.220 0.626
0.780 0.780 0.374
0.000 0.000 0.000
```

Properties
**V**: 204 Å³/f.u.
**Crystal system**: monoclinic
**Space-group type**: C2/m
**Total DFT energy (no corrections)**: -65.24 eV for the cell shown
**Total magnetization**: 0.7 μB per cell



No. 7
Here is a relaxed structure of SmErInCo2 from OQMD. Energies are from PBE.

```
SmErInCo2
1.0
-3.704 0.258 -1.210
-1.622 3.965 5.810
-0.574 6.475 3.139
Co Er In Sm
2 1 1 1
Direct
0.000 0.796 0.796
0.000 0.209 0.209
0.500 0.361 0.361
0.000 0.997 0.997
0.500 0.637 0.637
```

Properties
**V**: 104 Å³/f.u.
**Crystal system**: orthorhombic
**Space-group type**: Amm2
**Total DFT energy (no corrections)**: -27.83 eV for the cell shown
**Total magnetization**: 1.3 μB per cell



No. 8
Here is a relaxed structure of ErCoSi2Ir from OQMD. Energies are from PBE.

```
ErCoSi2Ir
1.0
0.623 -5.404 1.628
-2.929 -2.075 4.399
-0.912 2.980 -4.746
Si Er Co Ir
2 1 1 1
Direct
0.372 0.872 0.500
0.128 0.628 0.500
0.750 0.250 0.500
0.000 0.000 0.000
0.500 0.500 0.000
```

Properties
**V**: 77 Å³/f.u.
**Crystal system**: tetragonal
**Space-group type**: I-4m2
**Total DFT energy (no corrections)**: -36.13 eV for the cell shown
**Total magnetization**: 0.0 μB per cell



No. 9
Here is a relaxed structure of Er2CoSi4Ir from OQMD. Energies are from PBE.

```
Er2CoSi4Ir
1.0
4.029 0.000 0.000
0.000 2.011 8.304
0.000 -2.011 8.304
Ir Si Er Co
1 4 2 1
Direct
0.500 0.324 0.324
0.000 0.243 0.243
0.000 0.544 0.544
0.500 0.742 0.742
0.500 0.465 0.465
0.500 0.107 0.107
0.000 0.897 0.897
0.000 0.677 0.677
```

Properties
**V**: 135 Å³/f.u.
**Crystal system**: orthorhombic
**Space-group type**: Amm2
**Total DFT energy (no corrections)**: -53.48 eV for the cell shown
**Total magnetization**: 0.0 μB per cell



No. 10
Here is a relaxed structure of Tb2ErCoSn3Ir2 from OQMD. Energies are from PBE.

```
Tb2ErCoSn3Ir2
1.0
-2.855 2.010 -1.474
-4.441 -2.137 5.685
4.102 6.277 0.614
Tb Sn Co Ir Er
2 3 1 2 1
Direct
0.000 0.406 0.000
0.000 0.000 0.406
0.500 0.999 0.747
0.500 0.254 0.254
0.500 0.747 0.999
0.000 0.999 0.999
0.500 0.666 0.335
0.500 0.335 0.666
0.000 0.595 0.595
```

Properties
**V**: 186 Å³/f.u.
**Crystal system**: orthorhombic
**Space-group type**: Amm2
**Total DFT energy (no corrections)**: -57.35 eV for the cell shown
**Total magnetization**: 0.0 μB per cell



No. 11
Here is a relaxed structure of Er2ZnCoIr from OQMD. Energies are from PBE.

```
Er2ZnCoIr
1.0
-2.059 4.090 2.785
2.059 -4.090 2.785
2.059 4.090 -2.785
Co Er Ir Zn
1 2 1 1
Direct
0.271 0.771 0.500
0.709 0.502 0.207
0.296 0.502 0.793
0.710 0.210 0.500
0.014 0.014 0.000
```

Properties
**V**: 94 Å³/f.u.
**Formation energy from the elements**: -588 meV/atom
**Crystal system**: orthorhombic
**Space-group type**: Imm2
**Total magnetization**: 0.2 μB per cell



No. 12
Here is a relaxed structure of KErCo from OQMD. Energies are from PBE.

```
KErCo
1.0
0.000 3.414 3.414
3.414 0.000 3.414
3.414 3.414 0.000
Co Er K
1 1 1
Direct
0.000 0.000 0.000
0.250 0.250 0.250
0.750 0.750 0.750
```

Properties
**V**: 80 Å³/f.u.
**Crystal system**: cubic
**Space-group type**: F-43m
**Excess energy over the best structure of this formula in the dataset**: 0 meV per atom
**Total magnetization**: 0.3 μB per cell